Run 1
A geometry-optimized CeY2Cu structure, computed with PBE-GGA.

abc: 3.4966 3.4966 8.5976
angles: 90.00 90.00 90.00
Last column: nearest neighbours and their distance in Å.
Space group P4/mmm (No. 123)
One atom of each set of equivalent atoms:
Ce 0.0000 0.0000 0.0000 (multiplicity 1)  4 Ce 3.50, 8 Y 3.58
Y 0.5000 0.5000 0.3015 (multiplicity 2)  4 Cu 3.00
Cu 0.0000 0.0000 0.5000 (multiplicity 1)  8 Y 3.00

Total moment (μB per formula unit): 1.3

=====

Run 2
A geometry-optimized CeY2Cu structure, computed with PBE-GGA.

abc: 3.3947 3.3947 32.6983
angles: 90.00 90.00 120.00
Last column: nearest neighbours and their distance in Å.
Space group R-3m (No. 166, hexagonal axes)
One atom of each set of equivalent atoms:
Ce 0.0000 0.0000 0.0000 (multiplicity 3)  2 Y 3.33, 6 Ce 3.39
Y 0.0000 0.0000 0.1019 (multiplicity 6)  3 Cu 2.89
Cu 0.0000 0.0000 0.5000 (multiplicity 3)  6 Y 2.89

Total moment (μB per formula unit): 0.7

=====

The most stable of them is run 1.

=====

Run 1
A geometry-optimized Ce2YCu structure, computed with PBE-GGA.

abc: 3.2454 3.2454 33.1029
angles: 90.00 90.00 120.00
Last column: nearest neighbours and their distance in Å.
Space group R-3m (No. 166, hexagonal axes)
One atom of each set of equivalent atoms:
Ce 0.0000 0.0000 0.0968 (multiplicity 6)  3 Cu 2.98, 1 Y 3.21, 6 Ce 3.25
Y 0.0000 0.0000 0.0000 (multiplicity 3)  2 Ce 3.21, 6 Y 3.25
Cu 0.0000 0.0000 0.5000 (multiplicity 3)  6 Ce 2.98, 6 Cu 3.25

Total moment (μB per formula unit): 0.3

=====

Run 2
A geometry-optimized Ce2YCu structure, computed with PBE-GGA.

abc: 3.6327 3.6327 8.0782
angles: 90.00 90.00 90.00
Last column: nearest neighbours and their distance in Å.
Space group P4/mmm (No. 123)
One atom of each set of equivalent atoms:
Ce 0.0000 0.0000 0.1890 (multiplicity 2)  4 Cu 2.99, 1 Ce 3.05
Y 0.5000 0.5000 0.5000 (multiplicity 1)  8 Ce 3.59, 4 Y 3.63
Cu 0.5000 0.5000 0.0000 (multiplicity 1)  8 Ce 2.99

Total moment (μB per formula unit): 0.2

=====

The most stable of them is run 2.

=====

Run 1
A geometry-optimized CeZn3Cu structure, computed with PBE-GGA.

abc: 5.1807 7.2826 9.7566
angles: 90.00 90.00 90.00
Last column: nearest neighbours and their distance in Å.
Space group Imma (No. 74)
One atom of each set of equivalent atoms:
Ce 0.0000 0.2500 0.0126 (multiplicity 4)  7 Zn 3.03-3.19, 4 Cu 3.17
Zn 0.0000 0.2500 0.3229 (multiplicity 4)  2 Cu 2.51, 4 Zn 2.68
Zn 0.2500 0.0575 0.7500 (multiplicity 8)  5 Zn 2.59-2.80, 2 Cu 2.79
Cu 0.0000 0.0000 0.5000 (multiplicity 4)  6 Zn 2.51-2.79

Total moment (μB per formula unit): 0.8

=====

Run 2
A geometry-optimized CeZn3Cu structure, computed with PBE-GGA.

abc: 8.2891 4.2555 10.3542
angles: 90.00 90.00 90.00
Last column: nearest neighbours and their distance in Å.
Space group Pnma (No. 62)
One atom of each set of equivalent atoms:
Ce 0.1908 0.2500 0.0013 (multiplicity 4)  2 Cu 3.03, 9 Zn 3.08-3.35
Zn 0.0691 0.2500 0.3953 (multiplicity 4)  3 Cu 2.51-2.62, 2 Zn 2.55-2.70
Zn 0.1108 0.7500 0.2142 (multiplicity 4)  2 Cu 2.41-2.45
Zn 0.1329 0.7500 0.7908 (multiplicity 4)  2 Zn 2.55-2.70, 2 Cu 2.67
Cu 0.1107 0.2500 0.6354 (multiplicity 4)  7 Zn 2.41-2.67

Total moment (μB per formula unit): 0.8

=====

The most stable of them is run 2.

=====

Run 1
A geometry-optimized CeZn9Cu2 structure, computed with PBE-GGA.

abc: 8.5513 8.5513 3.0041
angles: 90.00 90.00 120.00
Last column: nearest neighbours and their distance in Å.
Space group P6/mmm (No. 191)
One atom of each set of equivalent atoms:
Ce 0.0000 0.0000 0.0000 (multiplicity 1)  2 Ce 3.00, 12 Zn 3.17
Zn 0.0000 0.5000 0.0000 (multiplicity 3)  2 Cu 2.47
Zn 0.1888 0.3775 0.5000 (multiplicity 6)  2 Cu 2.62, 6 Zn 2.77-2.80
Cu 0.3333 0.6667 0.0000 (multiplicity 2)  9 Zn 2.47-2.62

Total moment (μB per formula unit): 0.5

=====

Run 2
A geometry-optimized CeZn9Cu2 structure, computed with PBE-GGA.

abc: 10.5298 10.5298 6.7567
angles: 90.00 90.00 90.00
Last column: nearest neighbours and their distance in Å.
Space group I4_1/amd (No. 141, origin choice 2)
One atom of each set of equivalent atoms:
Ce 0.0000 0.2500 0.3750 (multiplicity 4)  18 Zn 3.25-3.39
Zn 0.0000 0.2500 0.8750 (multiplicity 4)  4 Cu 2.76, 8 Zn 2.82
Zn 0.1216 0.0459 0.6827 (multiplicity 32)  2 Cu 2.54-2.58, 6 Zn 2.56-2.82
Cu 0.0000 0.0000 0.0000 (multiplicity 8)  10 Zn 2.54-2.76

Total moment (μB per formula unit): 0.8

=====

The most stable of them is run 2.

=====

Run 1
A geometry-optimized CeDy4 structure, computed with PBE-GGA.

abc: 7.9050 7.9050 5.0323
angles: 90.00 90.00 90.00
Last column: nearest neighbours and their distance in Å.
Space group I4/m (No. 87)
One atom of each set of equivalent atoms:
Ce 0.0000 0.0000 0.0000 (multiplicity 2)  12 Dy 3.53-3.55
Dy 0.1000 0.7028 0.5000 (multiplicity 8)  9 Dy 3.51-3.57, 3 Ce 3.53-3.55

Total moment (μB per formula unit): 1.3

=====

Run 2
A geometry-optimized CeDy4 structure, computed with PBE-GGA.

abc: 5.5208 5.5208 5.5208
angles: 90.00 90.00 90.00
Last column: nearest neighbours and their distance in Å.
Space group Pm-3m (No. 221)
One atom of each set of equivalent atoms:
Ce 0.0000 0.0000 0.0000 (multiplicity 1)  6 Dy 2.76
Dy 0.0000 0.0000 0.5000 (multiplicity 3)  2 Ce 2.76
Dy 0.5000 0.5000 0.5000 (multiplicity 1)  12 Dy 3.90

Total moment (μB per formula unit): 0.6

=====

The most stable of them is run 1.

=====

Run 1
A geometry-optimized Ce3Dy structure, computed with PBE-GGA.

abc: 3.3172 4.4068 7.6481
angles: 90.00 90.00 90.00
Last column: nearest neighbours and their distance in Å.
Space group Pmm2 (No. 25)
One atom of each set of equivalent atoms:
Ce 0.0000 0.0000 0.0000 (multiplicity 1)  2 Ce 2.83
Ce 0.0000 0.5000 0.2320 (multiplicity 1)  2 Ce 2.83
Ce 0.5000 0.5000 0.7951 (multiplicity 1)  6 Ce 3.17-3.32, 2 Dy 3.23
Dy 0.5000 0.0000 0.4870 (multiplicity 1)  6 Ce 3.23-3.38, 2 Dy 3.32

Total moment (μB per formula unit): 0.0

=====

Run 2
A geometry-optimized Ce3Dy structure, computed with PBE-GGA.

abc: 4.8008 4.8008 9.7654
angles: 90.00 90.00 90.00
Last column: nearest neighbours and their distance in Å.
Space group I4/mmm (No. 139)
One atom of each set of equivalent atoms:
Ce 0.0000 0.0000 0.0000 (multiplicity 2)  4 Dy 3.39, 8 Ce 3.42
Ce 0.0000 0.5000 0.2500 (multiplicity 4)  8 Ce 3.39-3.42, 4 Dy 3.42
Dy 0.0000 0.0000 0.5000 (multiplicity 2)  12 Ce 3.39-3.42

Total moment (μB per formula unit): 0.0

=====

The most stable of them is run 2.

=====

Run 1
A geometry-optimized Ce3Dy structure, computed with PBE-GGA.

abc: 4.8393 4.8393 4.8393
angles: 90.00 90.00 90.00
Last column: nearest neighbours and their distance in Å.
Space group Pm-3m (No. 221)
One atom of each set of equivalent atoms:
Ce 0.0000 0.0000 0.5000 (multiplicity 3)  4 Dy 3.42, 8 Ce 3.42
Dy 0.5000 0.5000 0.5000 (multiplicity 1)  12 Ce 3.42

Total moment (μB per formula unit): 0.7

=====

Run 2
A geometry-optimized Ce3Dy structure, computed with PBE-GGA.

abc: 3.3886 11.3095 5.9563
angles: 90.00 90.00 90.00
Last column: nearest neighbours and their distance in Å.
Space group Imm2 (No. 44)
One atom of each set of equivalent atoms:
Ce 0.0000 0.0000 0.0000 (multiplicity 2)  6 Ce 3.27-3.39, 4 Dy 3.41-3.44
Ce 0.0000 0.2612 0.3749 (multiplicity 4)  8 Ce 3.27-3.44, 3 Dy 3.48-3.51
Dy 0.0000 0.5000 0.9976 (multiplicity 2)  2 Dy 3.39, 10 Ce 3.41-3.51

Total moment (μB per formula unit): 0.2

=====

The most stable of them is run 1.

=====

Run 1
A geometry-optimized CeDy structure, computed with PBE-GGA.

abc: 12.0633 4.1520 5.4999
angles: 90.00 117.09 90.00
Last column: nearest neighbours and their distance in Å.
Space group C2/m (No. 12)
One atom of each set of equivalent atoms:
Ce 0.1693 0.0000 0.4204 (multiplicity 4)  2 Ce 2.70
Dy 0.1129 0.5000 0.8638 (multiplicity 4)  8 Ce 3.50-3.67, 4 Dy 3.60-3.68

Total moment (μB per formula unit): 0.0

=====

Run 2
A geometry-optimized CeDy structure, computed with PBE-GGA.

abc: 3.4698 4.9360 6.9704
angles: 90.00 90.00 90.00
Last column: nearest neighbours and their distance in Å.
Space group Pmmn (No. 59, origin choice 2)
One atom of each set of equivalent atoms:
Ce 0.2500 0.2500 0.1121 (multiplicity 2)  6 Dy 3.36-3.61, 6 Ce 3.40-3.47
Dy 0.2500 0.2500 0.6293 (multiplicity 2)  6 Ce 3.36-3.61, 6 Dy 3.47-3.51

Total moment (μB per formula unit): 0.0

=====

The most stable of them is run 2.

=====

Run 1
A geometry-optimized CeDy3 structure, computed with PBE-GGA.

abc: 7.9902 7.9902 7.9902
angles: 90.00 90.00 90.00
Last column: nearest neighbours and their distance in Å.
Space group Fm-3m (No. 225)
One atom of each set of equivalent atoms:
Ce 0.0000 0.0000 0.0000 (multiplicity 4)  8 Dy 3.46
Dy 0.0000 0.0000 0.5000 (multiplicity 4)  8 Dy 3.46
Dy 0.2500 0.2500 0.2500 (multiplicity 8)  4 Dy 3.46, 4 Ce 3.46

Total moment (μB per formula unit): 1.5

=====

Run 2
A geometry-optimized CeDy3 structure, computed with PBE-GGA.

abc: 5.0084 5.0084 10.0079
angles: 90.00 90.00 90.00
Last column: nearest neighbours and their distance in Å.
Space group I4/mmm (No. 139)
One atom of each set of equivalent atoms:
Ce 0.0000 0.0000 0.0000 (multiplicity 2)  12 Dy 3.54
Dy 0.0000 0.0000 0.5000 (multiplicity 2)  8 Dy 3.54, 4 Ce 3.54
Dy 0.0000 0.5000 0.2500 (multiplicity 4)  8 Dy 3.54, 4 Ce 3.54

Total moment (μB per formula unit): 1.1

=====

Run 3
A geometry-optimized CeDy3 structure, computed with PBE-GGA.

abc: 4.9911 4.9911 4.9911
angles: 90.00 90.00 90.00
Last column: nearest neighbours and their distance in Å.
Space group Pm-3m (No. 221)
One atom of each set of equivalent atoms:
Ce 0.0000 0.0000 0.0000 (multiplicity 1)  12 Dy 3.53
Dy 0.0000 0.5000 0.5000 (multiplicity 3)  8 Dy 3.53, 4 Ce 3.53

Total moment (μB per formula unit): 0.5

=====

Run 4
A geometry-optimized CeDy3 structure, computed with PBE-GGA.

abc: 3.5716 5.6980 6.1968
angles: 90.00 90.00 90.00
Last column: nearest neighbours and their distance in Å.
Space group Pmm2 (No. 25)
One atom of each set of equivalent atoms:
Ce 0.0000 0.0000 0.0000 (multiplicity 1)  10 Dy 3.51-3.61, 2 Ce 3.57
Dy 0.0000 0.5000 0.3327 (multiplicity 1)  2 Ce 3.52, 10 Dy 3.53-3.61
Dy 0.5000 0.0000 0.5065 (multiplicity 1)  8 Dy 3.52-3.57, 4 Ce 3.54-3.61
Dy 0.5000 0.5000 0.8391 (multiplicity 1)  4 Ce 3.51, 8 Dy 3.52-3.61

Total moment (μB per formula unit): 1.0

=====

The most stable of them is run 3.

=====

Run 1
A geometry-optimized CeDy2Er6 structure, computed with PBE-GGA.

abc: 7.2188 7.2188 18.7603
angles: 90.00 90.00 120.00
Last column: nearest neighbours and their distance in Å.
Space group R3m (No. 160, hexagonal axes)
One atom of each set of equivalent atoms:
Ce 0.0000 0.0000 0.0000 (multiplicity 3)  6 Er 2.75-3.05
Dy 0.0000 0.0000 0.5613 (multiplicity 3)  1 Dy 3.34, 9 Er 3.34-3.61
Dy 0.0000 0.0000 0.7391 (multiplicity 3)  1 Dy 3.34, 9 Er 3.49-3.62
Er 0.1726 0.3453 0.8852 (multiplicity 9)  1 Ce 3.05, 2 Er 3.39
Er 0.1848 0.3696 0.0799 (multiplicity 9)  1 Ce 2.75

Total moment (μB per formula unit): 0.0

=====

Run 2
A geometry-optimized CeDy2Er6 structure, computed with PBE-GGA.

abc: 8.8513 9.5554 13.2048
angles: 90.00 98.25 90.00
Last column: nearest neighbours and their distance in Å.
Space group C2/c (No. 15)
One atom of each set of equivalent atoms:
Ce 0.0000 0.0002 0.2500 (multiplicity 4)  6 Er 3.39-3.62, 4 Dy 3.53-3.60
Dy 0.1778 0.3313 0.3237 (multiplicity 8)  6 Er 3.22-3.59, 1 Dy 3.45, 2 Ce 3.53-3.60
Er 0.0086 0.1683 0.4895 (multiplicity 8)  5 Er 3.22-3.61, 2 Dy 3.23-3.44, 1 Ce 3.54
Er 0.1553 0.3333 0.8436 (multiplicity 8)  6 Er 3.22-3.60, 2 Dy 3.22-3.24
Er 0.1704 0.4990 0.0841 (multiplicity 8)  1 Ce 3.39, 8 Er 3.48-3.76, 2 Dy 3.54-3.59

Total moment (μB per formula unit): 1.0

=====

The most stable of them is run 2.

=====

Run 1
A geometry-optimized CeDy7Er2 structure, computed with PBE-GGA.

abc: 8.7006 16.4085 5.4739
angles: 90.00 90.00 90.00
Last column: nearest neighbours and their distance in Å.
Space group Cmmm (No. 65)
One atom of each set of equivalent atoms:
Ce 0.0000 0.0000 0.0000 (multiplicity 2)  10 Dy 3.41-3.64
Dy 0.0000 0.2078 0.0000 (multiplicity 4)  2 Er 3.10, 1 Ce 3.41
Dy 0.0000 0.5000 0.5000 (multiplicity 2)  2 Er 3.34, 4 Dy 3.36
Dy 0.1770 0.1127 0.5000 (multiplicity 8)  2 Dy 3.08-3.36, 2 Er 3.18-3.39
Er 0.0000 0.2965 0.5000 (multiplicity 4)  7 Dy 3.10-3.39

Total moment (μB per formula unit): 1.5

=====

Run 2
A geometry-optimized CeDy7Er2 structure, computed with PBE-GGA.

abc: 3.5268 9.3340 10.0108
angles: 74.47 89.99 79.18
Last column: nearest neighbours and their distance in Å.
Space group P-1 (No. 2)
One atom of each set of equivalent atoms:
Ce 0.0000 0.0000 0.0000 (multiplicity 1)  8 Dy 3.51-3.52, 2 Er 3.52, 2 Ce 3.53
Dy 0.0000 0.0000 0.5000 (multiplicity 1)  12 Dy 3.52-3.56
Dy 0.1995 0.6015 0.5994 (multiplicity 2)  10 Dy 3.52-3.55, 2 Er 3.54
Dy 0.3995 0.1997 0.7030 (multiplicity 2)  2 Er 3.51, 2 Ce 3.51, 8 Dy 3.53-3.55
Dy 0.3990 0.2009 0.1971 (multiplicity 2)  3 Er 3.51-3.53, 2 Ce 3.52, 7 Dy 3.53-3.56
Er 0.2001 0.6007 0.1004 (multiplicity 2)  7 Dy 3.51-3.54, 1 Ce 3.52, 4 Er 3.53-3.55

Total moment (μB per formula unit): 0.8

=====

The most stable of them is run 2.

=====

Run 1
A geometry-optimized CeDy2Er structure, computed with PBE-GGA.

abc: 3.5131 3.5131 9.9731
angles: 90.00 90.00 90.00
Last column: nearest neighbours and their distance in Å.
Space group P4/mmm (No. 123)
One atom of each set of equivalent atoms:
Ce 0.0000 0.0000 0.0000 (multiplicity 1)  8 Dy 3.50, 4 Ce 3.51
Dy 0.5000 0.5000 0.2469 (multiplicity 2)  4 Ce 3.50, 4 Dy 3.51, 4 Er 3.54
Er 0.0000 0.0000 0.5000 (multiplicity 1)  4 Er 3.51, 8 Dy 3.54

Total moment (μB per formula unit): 0.6

=====

Run 2
A geometry-optimized CeDy2Er structure, computed with PBE-GGA.

abc: 7.9757 7.9757 7.9757
angles: 90.00 90.00 90.00
Last column: nearest neighbours and their distance in Å.
Space group Fm-3m (No. 225)
One atom of each set of equivalent atoms:
Ce 0.0000 0.0000 0.0000 (multiplicity 4)  8 Dy 3.45
Dy 0.2500 0.2500 0.2500 (multiplicity 8)  4 Ce 3.45, 4 Er 3.45
Er 0.0000 0.0000 0.5000 (multiplicity 4)  8 Dy 3.45

Total moment (μB per formula unit): 1.9

=====

The most stable of them is run 1.